[1]
Here is a relaxed Ga2SnPt crystal from Alexandria via LeMat-Bulk. Energies are from PBE.

Unit cell a=9.1653 b=9.1653 c=9.1653 alpha=20.63 beta=20.63 gamma=20.63
Positions (direct):
Ga: 0.1025 0.1025 0.1025
Ga: 0.8975 0.8975 0.8975
Sn: 0.0000 0.0000 0.0000
Pt: 0.5000 0.5000 0.5000

Output
DFT total energy = -4.25 eV/atom

[2]
Here is a relaxed Th2CSe2 crystal from Alexandria via LeMat-Bulk. Energies are from PBE.

Unit cell a=8.1645 b=8.1645 c=7.5674 alpha=90.00 beta=90.00 gamma=150.44
Positions (direct):
Th: 0.0459 0.9541 0.5000
Th: 0.3400 0.6600 0.3772
Th: 0.6600 0.3400 0.8772
Th: 0.9541 0.0459 0.0000
C: 0.0877 0.9123 0.8185
C: 0.9123 0.0877 0.3185
Se: 0.2970 0.7030 0.0010
Se: 0.4441 0.5559 0.6934
Se: 0.5559 0.4441 0.1934
Se: 0.7030 0.2970 0.5010

Output
polymorph energy (0 for the lowest one) = 38 meV per atom
E_form (uncorrected) = -1.198 eV/atom

[3]
Here is a relaxed BeRu crystal from Alexandria via LeMat-Bulk. Energies are from PBE.

Unit cell a=2.7013 b=2.7013 c=3.6364 alpha=90.00 beta=90.00 gamma=120.00
Positions (direct):
Be: 0.0000 0.0000 0.0000
Ru: 0.6667 0.3333 0.5000

Output
DFT total energy = -6.55 eV/atom

[4]
Here is a relaxed CsPuCd10 crystal from Alexandria via LeMat-Bulk. Energies are from PBE.

Unit cell a=4.7778 b=6.3373 c=10.8091 alpha=90.00 beta=90.00 gamma=90.00
Positions (direct):
Cs: 0.0000 0.0000 0.0000
Pu: 0.0000 0.5000 0.5000
Cd: 0.0000 0.0000 0.3414
Cd: 0.0000 0.0000 0.6586
Cd: 0.0000 0.5000 0.1764
Cd: 0.0000 0.5000 0.8236
Cd: 0.5000 0.0000 0.5000
Cd: 0.5000 0.2716 0.2824
Cd: 0.5000 0.2716 0.7176
Cd: 0.5000 0.5000 0.0000
Cd: 0.5000 0.7284 0.2824
Cd: 0.5000 0.7284 0.7176

Output
DFT total energy = -2.03 eV/atom

[5]
Here is a relaxed CrCd2B crystal from Alexandria via LeMat-Bulk. Energies are from PBE.

Unit cell a=6.2449 b=6.2449 c=6.2449 alpha=96.77 beta=96.77 gamma=139.83
Positions (direct):
Cr: 0.0000 0.0000 0.0000
Cr: 0.7500 0.2500 0.5000
Cd: 0.2456 0.1250 0.6206
Cd: 0.3750 0.7544 0.8794
Cd: 0.5044 0.6250 0.3794
Cd: 0.8750 0.4956 0.1206
B: 0.2500 0.7500 0.5000
B: 0.5000 0.5000 0.0000

Output
DFT total energy = -3.79 eV/atom

[6]
Here is a relaxed Ba2MgAu crystal from Alexandria via LeMat-Bulk. Energies are from PBE.

Unit cell a=4.6888 b=4.6888 c=9.6275 alpha=104.15 beta=104.15 gamma=59.96
Positions (direct):
Ba: 0.2356 0.2356 0.2063
Ba: 0.7644 0.7644 0.7937
Mg: 0.0000 0.0000 0.5000
Au: 0.5000 0.5000 0.0000

Output
DFT total energy = -2.45 eV/atom

[7]
Here is a relaxed CaTl2Re crystal from Alexandria via LeMat-Bulk. Energies are from PBE.

Unit cell a=3.0723 b=4.8399 c=6.2413 alpha=90.00 beta=101.73 gamma=90.00
Positions (direct):
Ca: 0.0000 0.0000 0.0000
Tl: 0.3663 0.5000 0.7321
Tl: 0.6337 0.5000 0.2679
Re: 0.5000 0.0000 0.5000

Output
polymorph energy (0 for the lowest one) = 27 meV per atom

[8]
Here is a relaxed Ho12ErTm7 crystal from Alexandria via LeMat-Bulk. Energies are from PBE.

Unit cell a=8.5777 b=8.5777 c=8.5777 alpha=94.99 beta=94.99 gamma=94.99
Positions (direct):
Ho: 0.1475 0.4156 0.4777
Ho: 0.1864 0.7503 0.3136
Ho: 0.2497 0.6864 0.8136
Ho: 0.3136 0.1864 0.7503
Ho: 0.4156 0.4777 0.1475
Ho: 0.4777 0.1475 0.4156
Ho: 0.5223 0.8525 0.5844
Ho: 0.5844 0.5223 0.8525
Ho: 0.6864 0.8136 0.2497
Ho: 0.7503 0.3136 0.1864
Ho: 0.8136 0.2497 0.6864
Ho: 0.8525 0.5844 0.5223
Er: 0.0000 0.0000 0.0000
Tm: 0.0203 0.0827 0.3512
Tm: 0.0827 0.3512 0.0203
Tm: 0.3512 0.0203 0.0827
Tm: 0.5000 0.5000 0.5000
Tm: 0.6488 0.9797 0.9173
Tm: 0.9173 0.6488 0.9797
Tm: 0.9797 0.9173 0.6488

Output
polymorph energy (0 for the lowest one) = 0 meV per atom